A:
ZnAgSb3 after structural relaxation. Source: Alexandria, functional PBE.

Space-group type ... No. 221
M_tot ... 0.000 μB per formula unit

Cell: 5.226 5.226 5.226 Å, 90.00 90.00 90.00°
Atoms (fractional coordinates):
Ag 0.500 0.500 0.500
Sb 0.500 0.000 0.000
Sb 0.000 0.500 0.000
Sb 0.000 0.000 0.500
Zn 0.000 0.000 0.000

B:
ZnAgSb3 after structural relaxation. Source: Alexandria, functional PBE.

Space-group type ... No. 221
M_tot ... 0.000 μB per formula unit

Cell: 5.385 5.385 5.385 Å, 90.00 90.00 90.00°
Atoms (fractional coordinates):
Sb 0.000 0.000 0.500
Sb 0.500 0.000 0.000
Sb 0.000 0.500 0.000
Ag 0.000 0.000 0.000
Zn 0.500 0.500 0.500

Stability, lowest: B

A:
Zr2AgSb2 after structural relaxation. Source: Alexandria, functional PBE.

Space-group type ... No. 139
M_tot ... 0.049 μB per formula unit

Cell: 4.165 4.165 7.767 Å, 74.45 74.45 90.00°
Atoms (fractional coordinates):
Zr 0.600 0.600 0.801
Zr 0.400 0.400 0.199
Sb 0.250 0.750 0.500
Sb 0.750 0.250 0.500
Ag 0.000 0.000 0.000

B:
Zr2AgSb2 after structural relaxation. Source: Alexandria, functional PBE.

Space-group type ... No. 127
M_tot ... 0.000 μB per formula unit

Cell: 7.826 7.826 3.772 Å, 90.00 90.00 90.00°
Atoms (fractional coordinates):
Ag 0.000 0.000 0.000
Ag 0.500 0.500 0.000
Zr 0.355 0.145 0.500
Zr 0.145 0.645 0.500
Zr 0.645 0.855 0.500
Zr 0.855 0.355 0.500
Sb 0.152 0.348 0.000
Sb 0.348 0.848 0.000
Sb 0.848 0.652 0.000
Sb 0.652 0.152 0.000

Stability, lowest: A

A:
Sc4Ag after structural relaxation. Source: Alexandria, functional PBE.

Space-group type ... No. 139
M_tot ... 0.338 μB per formula unit

Cell: 11.014 3.263 3.263 Å, 90.00 98.52 81.48°
Atoms (fractional coordinates):
Sc 0.824 0.588 0.412
Sc 0.393 0.803 0.197
Sc 0.176 0.412 0.588
Sc 0.607 0.197 0.803
Ag 0.000 0.000 0.000

B:
Sc4Ag after structural relaxation. Source: Alexandria, functional PBE.

Space-group type ... No. 221
M_tot ... 0.001 μB per formula unit

Cell: 5.181 5.181 5.181 Å, 90.00 90.00 90.00°
Atoms (fractional coordinates):
Sc 0.500 0.000 0.500
Sc 0.000 0.500 0.500
Sc 0.000 0.000 0.000
Sc 0.500 0.500 0.000
Ag 0.500 0.500 0.500

C:
Sc4Ag after structural relaxation. Source: Alexandria, functional PBE.

Space-group type ... No. 12
M_tot ... 0.000 μB per formula unit

Cell: 3.431 5.913 6.163 Å, 99.14 73.84 106.87°
Atoms (fractional coordinates):
Sc 0.767 0.352 0.819
Sc 0.233 0.648 0.181
Sc 0.424 0.217 0.370
Sc 0.576 0.783 0.630
Ag 0.000 0.000 0.000

D:
Sc4Ag after structural relaxation. Source: Alexandria, functional PBE.

Space-group type ... No. 43
M_tot ... 0.468 μB per formula unit

Cell: 6.062 6.062 7.983 Å, 99.51 99.50 124.40°
Atoms (fractional coordinates):
Ag 0.512 0.012 0.500
Ag 0.262 0.262 0.000
Sc 0.715 0.135 0.899
Sc 0.235 0.816 0.101
Sc 0.116 0.521 0.697
Sc 0.669 0.574 0.803
Sc 0.824 0.419 0.303
Sc 0.771 0.866 0.197
Sc 0.385 0.465 0.399
Sc 0.066 0.985 0.601

Stability, lowest: B

A:
Sc4Ag after structural relaxation. Source: Alexandria, functional PBE.

Space-group type ... No. 229
M_tot ... 2.169 μB per formula unit

Cell: 5.598 5.598 5.598 Å, 109.47 109.47 109.47°
Atoms (fractional coordinates):
Sc 0.000 0.500 0.000
Sc 0.500 0.500 0.500
Sc 0.000 0.000 0.500
Sc 0.500 0.000 0.000
Ag 0.000 0.000 0.000

B:
Sc4Ag after structural relaxation. Source: Alexandria, functional PBE.

Space-group type ... No. 139
M_tot ... 0.002 μB per formula unit

Cell: 8.715 8.715 8.715 Å, 154.51 154.51 36.36°
Atoms (fractional coordinates):
Sc 0.250 0.750 0.500
Sc 0.411 0.411 0.000
Sc 0.750 0.250 0.500
Sc 0.589 0.589 0.000
Ag 0.000 0.000 0.000

Stability, lowest: A

A:
Sc3Ag5 after structural relaxation. Source: Alexandria, functional PBE.

Space-group type ... No. 189
M_tot ... 0.000 μB per formula unit

Cell: 3.445 7.356 7.356 Å, 120.00 90.00 90.00°
Atoms (fractional coordinates):
Sc 0.500 0.396 0.396
Sc 0.500 0.000 0.604
Sc 0.500 0.604 0.000
Ag 0.000 0.000 0.231
Ag 0.000 0.231 0.000
Ag 0.000 0.769 0.769
Ag 0.000 0.333 0.667
Ag 0.000 0.667 0.333

B:
Sc3Ag5 after structural relaxation. Source: Alexandria, functional PBE.

Space-group type ... No. 8
M_tot ... 0.000 μB per formula unit

Cell: 8.100 8.098 8.527 Å, 98.91 98.95 140.14°
Atoms (fractional coordinates):
Ag 0.728 0.922 0.638
Ag 0.224 0.725 0.466
Ag 0.788 0.497 0.166
Ag 0.422 0.228 0.638
Ag 0.011 0.700 0.920
Ag 0.215 0.105 0.257
Ag 0.997 0.288 0.166
Ag 0.200 0.511 0.920
Ag 0.605 0.715 0.257
Ag 0.840 0.340 0.604
Sc 0.257 0.202 0.924
Sc 0.528 0.028 0.845
Sc 0.833 0.669 0.523
Sc 0.488 0.988 0.237
Sc 0.168 0.332 0.523
Sc 0.702 0.757 0.924

C:
Sc3Ag5 after structural relaxation. Source: Alexandria, functional PBE.

Space-group type ... No. 63
M_tot ... 0.000 μB per formula unit

Cell: 8.273 8.290 5.649 Å, 90.00 90.00 120.08°
Atoms (fractional coordinates):
Ag 0.334 0.667 0.500
Ag 0.747 0.747 0.250
Ag 0.000 0.746 0.750
Ag 0.666 0.333 0.000
Ag 0.747 0.000 0.750
Ag 0.253 0.000 0.250
Ag 0.334 0.667 0.000
Ag 0.000 0.254 0.250
Ag 0.666 0.333 0.500
Ag 0.253 0.253 0.750
Sc 0.000 0.608 0.250
Sc 0.608 0.000 0.250
Sc 0.000 0.391 0.750
Sc 0.392 0.000 0.750
Sc 0.608 0.608 0.750
Sc 0.392 0.392 0.250

Stability, lowest: C

A:
Sc3Ag4 after structural relaxation. Source: Alexandria, functional PBE.

Space-group type ... No. 139
M_tot ... 1.078 μB per formula unit

Cell: 11.279 11.279 11.279 Å, 161.83 161.83 25.81°
Atoms (fractional coordinates):
Ag 0.138 0.138 0.000
Ag 0.568 0.568 0.000
Ag 0.862 0.862 0.000
Ag 0.432 0.432 0.000
Sc 0.704 0.704 0.000
Sc 0.296 0.296 0.000
Sc 0.000 0.000 0.000

B:
Sc3Ag4 after structural relaxation. Source: Alexandria, functional PBE.

Space-group type ... No. 166
M_tot ... 0.000 μB per formula unit

Cell: 4.759 4.759 8.307 Å, 73.36 73.36 60.00°
Atoms (fractional coordinates):
Ag 0.875 0.875 0.374
Ag 0.125 0.125 0.626
Ag 0.628 0.628 0.116
Ag 0.372 0.372 0.884
Sc 0.000 0.000 0.000
Sc 0.247 0.247 0.259
Sc 0.753 0.753 0.741

Stability, lowest: B